Record 1
Compound: AlCrAu14
Source: the Alexandria database
Functional: PBE
Structure: relaxed

Calculated values
total moment	4.09	Bohr magnetons per cell
E_form	-0.02	eV/atom

Unit cell a=5.8090 b=5.8090 c=9.4948 alpha=90.00 beta=90.00 gamma=117.53
Last column: magnetic moment on the atom in μB.
Positions (direct):
Al (0.5529, 0.4471, 0.5000)  -0.01
Cr (0.0519, 0.9481, 0.5000)  3.60
Au (0.1980, 0.8020, 0.0000)  -0.01
Au (0.6997, 0.3003, 0.0000)  -0.02
Au (0.0581, 0.4441, 0.5000)  0.03
Au (0.2038, 0.3000, 0.0000)  0.00
Au (0.5559, 0.9419, 0.5000)  0.03
Au (0.7000, 0.7962, 0.0000)  0.00
Au (0.3752, 0.1335, 0.7357)  0.02
Au (0.3752, 0.1335, 0.2643)  0.02
Au (0.8665, 0.6248, 0.7357)  0.02
Au (0.8665, 0.6248, 0.2643)  0.02
Au (0.3720, 0.6280, 0.7491)  0.00
Au (0.3720, 0.6280, 0.2509)  0.00
Au (0.8761, 0.1239, 0.7501)  0.02
Au (0.8761, 0.1239, 0.2499)  0.02

=====

Record 2
Compound: TaGa2Pb
Source: the Alexandria database
Functional: PBE
Structure: relaxed

Calculated values
total moment	0.00	Bohr magnetons per cell
E_form	0.13	eV/atom

Unit cell a=3.1303 b=3.1303 c=10.1232 alpha=81.11 beta=81.11 gamma=60.00
Positions (direct):
Pb (0.0000, 0.0000, 0.0000)
Ga (0.0957, 0.0957, 0.7129)
Ga (0.9043, 0.9043, 0.2871)
Ta (0.5000, 0.5000, 0.5000)

=====

Record 3
Compound: Sn3PtBr
Source: the Alexandria database
Functional: PBE
Structure: relaxed

Calculated values
total moment	0.00	Bohr magnetons per cell
relative energy among the computed polymorphs	0.0	kJ per mole of atoms
uncorrected formation energy	-58	meV/atom

Unit cell a=5.3204 b=5.3204 c=5.3204 alpha=90.00 beta=90.00 gamma=90.00
Positions (direct):
Br (0.5000, 0.5000, 0.5000)
Sn (0.0000, 0.5000, 0.0000)
Sn (0.0000, 0.0000, 0.5000)
Sn (0.5000, 0.0000, 0.0000)
Pt (0.0000, 0.0000, 0.0000)

=====

Record 4
Compound: Ba4LiPa3N8
Source: the Alexandria database
Functional: PBE
Structure: relaxed

Calculated values
total moment	0.00	Bohr magnetons per cell
uncorrected formation energy	-1026	meV/atom

Unit cell a=7.3410 b=7.6087 c=7.3412 alpha=118.84 beta=120.00 gamma=90.00
Positions (direct):
Ba (0.5000, 0.0000, 0.0000)
Ba (0.5000, 0.0000, 0.5000)
Ba (0.0000, 0.0000, 0.0000)
Ba (0.0000, 0.0000, 0.5000)
Li (0.0000, 0.5000, 0.0000)
Pa (0.5000, 0.5000, 0.0000)
Pa (0.5000, 0.5000, 0.5000)
Pa (0.0000, 0.5000, 0.5000)
N (0.2471, 0.6841, 0.9371)
N (0.2471, 0.6842, 0.4942)
N (0.2689, 0.3068, 0.5379)
N (0.6900, 0.6841, 0.9371)
N (0.3100, 0.3159, 0.0629)
N (0.7311, 0.6932, 0.4621)
N (0.7529, 0.3158, 0.5058)
N (0.7529, 0.3159, 0.0629)

=====

Record 5
Compound: YErNiPt
Source: the Alexandria database
Functional: PBE
Structure: relaxed

Calculated values
total moment	0.00	Bohr magnetons per cell
relative energy among the computed polymorphs	5.4	kJ per mole of atoms
E_form	-0.82	eV/atom

Unit cell a=4.8613 b=4.8613 c=4.8613 alpha=60.00 beta=60.00 gamma=60.00
Positions (direct):
Y (0.7500, 0.7500, 0.7500)
Ni (0.0000, 0.0000, 0.0000)
Pt (0.5000, 0.5000, 0.5000)
Er (0.2500, 0.2500, 0.2500)

=====

Record 6
Compound: Zn2Se
Source: the Alexandria database
Functional: PBE
Structure: relaxed

Calculated values
total moment	0.00	Bohr magnetons per cell
relative energy among the computed polymorphs	3.0	kJ per mole of atoms
uncorrected formation energy	-161	meV/atom

Unit cell a=3.7598 b=3.7598 c=4.7271 alpha=90.00 beta=90.00 gamma=120.00
Positions (direct):
Se (0.0000, 0.0000, 0.0000)
Zn (0.6667, 0.3333, 0.6788)
Zn (0.3333, 0.6667, 0.3212)

=====

Calculated volume (Å³ per cell), listed in the same order as above: 284.1, 84.5, 150.6, 294.9, 81.2, 57.9